Computed, not measured: a geometry-optimized TmAl3Fe2 structure at the PBE level of DFT.

Geometry as POSCAR:
```
TmAl3Fe2
1.0
4.621 -4.059 0.000
4.621 4.059 0.000
0.000 0.000 5.162
Tm Al Fe
2 6 4
Direct
0.139 0.861 0.750
0.861 0.139 0.250
0.047 0.582 0.250
0.418 0.953 0.250
0.481 0.519 0.250
0.519 0.481 0.750
0.582 0.047 0.750
0.953 0.418 0.750
0.272 0.272 0.000
0.272 0.272 0.500
0.728 0.728 0.000
0.728 0.728 0.500
```

Properties
- M_tot: 4.997 Bohr magnetons per cell
- VASP energy: -5.787 eV per atom
- Calculated formation energy: -0.350 eV per atom
- Space-group type: Cmcm, No. 63